No. 1
Compound: Be2CoRu
Source: the Alexandria database
Functional: PBE
Structure: relaxed

## Properties
energy of formation	-0.63	eV/f.u.
DOS at the Fermi energy	0.632	states/eV per atom
total moment	1.06	Bohr magnetons per cell
ρ	7.39	g/cm³
symmetry	P4mm (99)

Unit cell a=2.702 b=2.702 c=5.478 alpha=90.00 beta=90.00 gamma=90.00
Fractional positions:
Be 0.000 0.000 0.000
Be 0.500 0.500 0.203
Co 0.000 0.000 0.431
Ru 0.500 0.500 0.734

No. 2
Compound: Sm2SiSn
Source: the Alexandria database
Functional: PBE
Structure: relaxed

## Properties
ΔE_f (raw)	-0.7432	eV per atom
DOS at the Fermi energy	0.697	states/eV per atom
total moment	0.00	Bohr magnetons per cell
ρ	7.08	g/cm³
symmetry	P2_1/m (11)

Unit cell a=6.086 b=4.115 c=8.787 alpha=90.00 beta=107.49 gamma=90.00
Fractional positions:
Sm 0.191 0.250 0.420
Sm 0.276 0.750 0.060
Sm 0.724 0.250 0.940
Sm 0.809 0.750 0.580
Si 0.122 0.250 0.794
Si 0.878 0.750 0.206
Sn 0.376 0.750 0.710
Sn 0.624 0.250 0.290

No. 3
Compound: HoHg7
Source: the Alexandria database
Functional: PBE
Structure: relaxed

## Properties
energy of formation	-0.84	eV/f.u.
ΔE to the lowest computed polymorph	27	meV per atom
DOS at the Fermi energy	0.540	states/eV per atom
total moment	0.00	Bohr magnetons per cell
ρ	12.75	g/cm³
symmetry	Fm-3m (225)

Unit cell a=6.612 b=6.612 c=6.612 alpha=60.00 beta=60.00 gamma=60.00
Fractional positions:
Ho 0.000 0.000 0.000
Hg 0.000 0.000 0.500
Hg 0.000 0.500 0.000
Hg 0.000 0.500 0.500
Hg 0.500 0.000 0.000
Hg 0.500 0.000 0.500
Hg 0.500 0.500 0.000
Hg 0.500 0.500 0.500

No. 4
Compound: Mn2Pd3Au2
Source: the Alexandria database
Functional: PBE
Structure: relaxed

## Properties
energy of formation	0.77	eV/f.u.
ΔE to the lowest computed polymorph	302	meV per atom
DOS at the Fermi energy	0.859	states/eV per atom
total moment	0.00	Bohr magnetons per cell
ρ	12.95	g/cm³
symmetry	C2/m (12)

Unit cell a=5.475 b=5.475 c=6.963 alpha=99.98 beta=99.98 gamma=30.92
Fractional positions:
Mn 0.214 0.214 0.079
Mn 0.786 0.786 0.921
Pd 0.345 0.345 0.628
Pd 0.500 0.500 0.000
Pd 0.655 0.655 0.372
Au 0.086 0.086 0.695
Au 0.914 0.914 0.305

No. 5
Compound: Sr2CdP3Pt12
Source: the Alexandria database
Functional: PBE
Structure: relaxed

## Properties
energy of formation	-5.49	eV/f.u.
DOS at the Fermi energy	0.279	states/eV per atom
total moment	0.00	Bohr magnetons per cell
ρ	12.31	g/cm³
symmetry	R-3m (166)

Unit cell a=7.740 b=7.740 c=7.740 alpha=65.50 beta=65.50 gamma=65.50
Fractional positions:
Sr 0.105 0.105 0.105
Sr 0.895 0.895 0.895
Cd 0.500 0.500 0.500
P 0.000 0.500 0.500
P 0.500 0.000 0.500
P 0.500 0.500 0.000
Pt 0.116 0.629 0.629
Pt 0.164 0.164 0.595
Pt 0.164 0.595 0.164
Pt 0.371 0.371 0.884
Pt 0.371 0.884 0.371
Pt 0.405 0.836 0.836
Pt 0.595 0.164 0.164
Pt 0.629 0.116 0.629
Pt 0.629 0.629 0.116
Pt 0.836 0.405 0.836
Pt 0.836 0.836 0.405
Pt 0.884 0.371 0.371

No. 6
Compound: Co3Au
Source: the Alexandria database
Functional: PBE
Structure: relaxed

## Properties
energy of formation	0.61	eV/f.u.
DOS at the Fermi energy	1.037	states/eV per atom
total moment	10.61	Bohr magnetons per cell
ρ	12.16	g/cm³
symmetry	Pmmn (59)

Unit cell a=4.216 b=5.211 c=4.648 alpha=90.00 beta=90.00 gamma=90.00
Fractional positions:
Co 0.250 0.002 0.150
Co 0.250 0.498 0.150
Co 0.250 0.750 0.699
Co 0.750 0.250 0.301
Co 0.750 0.502 0.850
Co 0.750 0.998 0.850
Au 0.250 0.250 0.650
Au 0.750 0.750 0.350